Entry w
Compound: Tb2DySn
Source: Alexandria
Functional: PBE-GGA
Structure: relaxed

Calculated values
- Spin magnetization: 0.0 μB per formula unit
- Mass density: 8349 kg/m³
- Crystal system: orthorhombic

a = 5.542 Å, b = 12.746 Å, c = 6.747 Å
α = 90.00°, β = 90.00°, γ = 90.00°
Space group Cmcm (No. 63)
Inequivalent atoms, fractional coordinates:
Tb 0.000 0.134 0.017 (multiplicity 8)
Dy 0.000 0.428 0.250 (multiplicity 4)
Sn 0.000 0.332 0.750 (multiplicity 4)

***

Entry x
Compound: Tb2DySn
Source: Alexandria
Functional: PBE-GGA
Structure: relaxed

Calculated values
- Spin magnetization: 0.0 μB per formula unit
- Mass density: 7796 kg/m³
- Crystal system: trigonal

a = 3.5117 Å, b = 3.5117 Å, c = 35.8441 Å
α = 90.00°, β = 90.00°, γ = 120.00°
Space group R-3m (No. 166, hexagonal axes)
Inequivalent atoms, fractional coordinates:
Tb 0.0000 0.0000 0.0871 (multiplicity 6)
Dy 0.0000 0.0000 0.5000 (multiplicity 3)
Sn 0.0000 0.0000 0.0000 (multiplicity 3)

***

Entry y
Compound: Tb2DySn
Source: Alexandria
Functional: PBE-GGA
Structure: relaxed

Calculated values
- Spin magnetization: 0.0 μB per formula unit
- Mass density: 8913 kg/m³
- Crystal system: tetragonal

a = 4.813 Å, b = 4.813 Å, c = 4.818 Å
α = 90.00°, β = 90.00°, γ = 90.00°
Space group P4/mmm (No. 123)
Inequivalent atoms, fractional coordinates:
Tb 0.000 0.500 0.000 (multiplicity 2)
Dy 0.000 0.000 0.500 (multiplicity 1)
Sn 0.500 0.500 0.500 (multiplicity 1)

***

Which one is most stable, and which one is least stable? entry y is the most stable of them, while entry x is the least stable.

***

Entry w
Compound: Dy2SnTe
Source: Alexandria
Functional: PBE-GGA
Structure: relaxed

Calculated values
- Spin magnetization: 0.0 μB per formula unit
- Mass density: 7972 kg/m³
- Crystal system: orthorhombic

a = 6.190 Å, b = 6.190 Å, c = 12.422 Å
α = 90.00°, β = 90.00°, γ = 90.00°
Space group Pmna (No. 53)
Inequivalent atoms, fractional coordinates:
Dy 0.000 0.249 0.128 (multiplicity 4)
Dy 0.000 0.250 0.622 (multiplicity 4)
Sn 0.000 0.249 0.375 (multiplicity 4)
Te 0.000 0.251 0.875 (multiplicity 4)

***

Entry x
Compound: Dy2SnTe
Source: Alexandria
Functional: PBE-GGA
Structure: relaxed

Calculated values
- Spin magnetization: 0.0 μB per formula unit
- Mass density: 8751 kg/m³
- Crystal system: tetragonal

a = 3.664 Å, b = 3.664 Å, c = 8.074 Å
α = 90.00°, β = 90.00°, γ = 90.00°
Space group P4/mmm (No. 123)
Inequivalent atoms, fractional coordinates:
Dy 0.000 0.000 0.243 (multiplicity 2)
Sn 0.500 0.500 0.500 (multiplicity 1)
Te 0.500 0.500 0.000 (multiplicity 1)

***

Which one is most stable, and which one is least stable? entry w is the most stable of them, while entry x is the least stable.

***

Entry w
Compound: Dy2ThSn
Source: Alexandria
Functional: PBE-GGA
Structure: relaxed

Calculated values
- Spin magnetization: 0.0 μB per formula unit
- Mass density: 8767 kg/m³
- Crystal system: trigonal

a = 3.5336 Å, b = 3.5336 Å, c = 35.5081 Å
α = 90.00°, β = 90.00°, γ = 120.00°
Space group R-3m (No. 166, hexagonal axes)
Inequivalent atoms, fractional coordinates:
Dy 0.0000 0.0000 0.0878 (multiplicity 6)
Th 0.0000 0.0000 0.5000 (multiplicity 3)
Sn 0.0000 0.0000 0.0000 (multiplicity 3)

***

Entry x
Compound: Dy2ThSn
Source: Alexandria
Functional: PBE-GGA
Structure: relaxed

Calculated values
- Spin magnetization: 0.0 μB per formula unit
- Mass density: 9677 kg/m³
- Crystal system: tetragonal

a = 3.848 Å, b = 3.848 Å, c = 7.832 Å
α = 90.00°, β = 90.00°, γ = 90.00°
Space group P4/mmm (No. 123)
Inequivalent atoms, fractional coordinates:
Dy 0.000 0.000 0.222 (multiplicity 2)
Th 0.500 0.500 0.500 (multiplicity 1)
Sn 0.500 0.500 0.000 (multiplicity 1)

***

Which one is most stable, and which one is least stable? entry x is the most stable of them, while entry w is the least stable.

***

Entry w
Compound: DyTh2Sn2
Source: Alexandria
Functional: PBE-GGA
Structure: relaxed

Calculated values
- Spin magnetization: 0.0 μB per formula unit
- Mass density: 9545 kg/m³
- Crystal system: tetragonal

a = 8.220 Å, b = 8.220 Å, c = 4.449 Å
α = 90.00°, β = 90.00°, γ = 90.00°
Space group P4/mbm (No. 127)
Inequivalent atoms, fractional coordinates:
Dy 0.000 0.000 0.000 (multiplicity 2)
Th 0.170 0.330 0.500 (multiplicity 4)
Sn 0.133 0.633 0.000 (multiplicity 4)

***

Entry x
Compound: DyTh2Sn2
Source: Alexandria
Functional: PBE-GGA
Structure: relaxed

Calculated values
- Spin magnetization: 0.2 μB per formula unit
- Mass density: 9377 kg/m³
- Crystal system: orthorhombic

a = 6.441 Å, b = 16.703 Å, c = 5.689 Å
α = 90.00°, β = 90.00°, γ = 90.00°
Space group Cmcm (No. 63)
Inequivalent atoms, fractional coordinates:
Dy 0.000 0.000 0.000 (multiplicity 4)
Th 0.000 0.199 0.250 (multiplicity 4)
Th 0.000 0.419 0.750 (multiplicity 4)
Sn 0.244 0.366 0.250 (multiplicity 8)

***

Which one is most stable, and which one is least stable? entry w is the most stable of them, while entry x is the least stable.

***

Entry w
Compound: DyTiSn
Source: Alexandria
Functional: PBE-GGA
Structure: relaxed

Calculated values
- Spin magnetization: 0.7 μB per formula unit
- Mass density: 7801 kg/m³
- Crystal system: tetragonal

a = 3.665 Å, b = 3.665 Å, c = 10.427 Å
α = 90.00°, β = 90.00°, γ = 90.00°
Space group I4mm (No. 107)
Inequivalent atoms, fractional coordinates:
Dy 0.000 0.000 0.000 (multiplicity 2)
Ti 0.000 0.000 0.679 (multiplicity 2)
Sn 0.000 0.000 0.311 (multiplicity 2)

***

Entry x
Compound: DyTiSn
Source: Alexandria
Functional: PBE-GGA
Structure: relaxed

Calculated values
- Spin magnetization: 0.4 μB per formula unit
- Mass density: 7555 kg/m³
- Crystal system: tetragonal

a = 4.267 Å, b = 4.267 Å, c = 7.944 Å
α = 90.00°, β = 90.00°, γ = 90.00°
Space group P4/nmm (No. 129, origin choice 2)
Inequivalent atoms, fractional coordinates:
Dy 0.250 0.250 0.162 (multiplicity 2)
Ti 0.250 0.750 0.500 (multiplicity 2)
Sn 0.250 0.250 0.751 (multiplicity 2)

***

Which one is most stable, and which one is least stable? entry x is the most stable of them, while entry w is the least stable.

***

Entry w
Compound: DyTiSn2
Source: Alexandria
Functional: PBE-GGA
Structure: relaxed

Calculated values
- Spin magnetization: 0.0 μB per formula unit
- Mass density: 7988 kg/m³
- Crystal system: tetragonal

a = 3.748 Å, b = 3.748 Å, c = 6.626 Å
α = 90.00°, β = 90.00°, γ = 90.00°
Space group P4/mmm (No. 123)
Inequivalent atoms, fractional coordinates:
Dy 0.000 0.000 0.000 (multiplicity 1)
Ti 0.000 0.000 0.500 (multiplicity 1)
Sn 0.500 0.500 0.282 (multiplicity 2)

***

Entry x
Compound: DyTiSn2
Source: Alexandria
Functional: PBE-GGA
Structure: relaxed

Calculated values
- Spin magnetization: 0.0 μB per formula unit
- Mass density: 8102 kg/m³
- Crystal system: tetragonal

a = 4.581 Å, b = 4.581 Å, c = 4.373 Å
α = 90.00°, β = 90.00°, γ = 90.00°
Space group P4/mmm (No. 123)
Inequivalent atoms, fractional coordinates:
Dy 0.000 0.000 0.000 (multiplicity 1)
Ti 0.500 0.500 0.000 (multiplicity 1)
Sn 0.000 0.500 0.500 (multiplicity 2)

***

Entry y
Compound: DyTiSn2
Source: Alexandria
Functional: PBE-GGA
Structure: relaxed

Calculated values
- Spin magnetization: 0.0 μB per formula unit
- Mass density: 7629 kg/m³
- Crystal system: trigonal

a = 4.6148 Å, b = 4.6148 Å, c = 15.8541 Å
α = 90.00°, β = 90.00°, γ = 120.00°
Space group R-3m (No. 166, hexagonal axes)
Inequivalent atoms, fractional coordinates:
Dy 0.0000 0.0000 0.0000 (multiplicity 3)
Ti 0.0000 0.0000 0.5000 (multiplicity 3)
Sn 0.0000 0.0000 0.2346 (multiplicity 6)

***

Which one is most stable, and which one is least stable? entry y is the most stable of them, while entry w is the least stable.